No. 1
PBE NiIrW2, optimized geometry; volume = 14.6 Å³ per atom; symmetry = Pmm2 (25); ΔE_f = -0.1 eV per formula unit
1.0
2.796 0.000 0.000
0.000 3.711 0.000
0.000 0.000 5.623
Ni Ir W
1 1 2
Direct
0.000 0.000 0.000
0.500 0.500 0.749
0.000 0.000 0.510
0.500 0.500 0.217



No. 2
PBE NdTi2O5, optimized geometry; raw formation energy = -3.123 eV per atom; volume = 13.6 Å³ per atom; symmetry = Pmmn (59)
1.0
3.660 0.000 0.000
0.000 11.908 0.000
0.000 0.000 5.007
Nd Ti O
2 4 10
Direct
0.250 0.250 0.115
0.750 0.750 0.885
0.250 0.593 0.424
0.250 0.907 0.424
0.750 0.093 0.576
0.750 0.407 0.576
0.250 0.081 0.428
0.250 0.419 0.428
0.250 0.632 0.081
0.250 0.750 0.574
0.250 0.868 0.081
0.750 0.132 0.919
0.750 0.250 0.426
0.750 0.368 0.919
0.750 0.581 0.572
0.750 0.919 0.572



No. 3
PBE Sm2MgGa3, optimized geometry; volume = 22.5 Å³ per atom; symmetry = Fmmm (69); ΔE_f = -3.2 eV per formula unit
1.0
0.000 4.598 7.903
3.709 0.000 7.903
3.709 4.598 0.000
Sm Mg Ga
4 2 6
Direct
0.247 0.753 0.753
0.250 0.250 0.250
0.750 0.750 0.750
0.753 0.247 0.247
0.333 0.333 0.667
0.667 0.667 0.333
0.164 0.164 0.836
0.164 0.672 0.328
0.328 0.836 0.164
0.672 0.164 0.836
0.836 0.328 0.672
0.836 0.836 0.164



No. 4
PBE NaZnFeC2, optimized geometry; volume = 15.3 Å³ per atom; symmetry = P4/mmm (123); ΔE_f = 16.1 eV per formula unit
1.0
4.128 0.000 0.000
0.000 4.128 0.000
0.000 0.000 4.484
Na Zn Fe C
1 1 1 2
Direct
0.000 0.000 0.000
0.000 0.000 0.500
0.500 0.500 0.500
0.000 0.500 0.000
0.500 0.000 0.000



No. 5
PBE Tb2CdPd4, optimized geometry; E above lowest polymorph = 0 meV/atom; volume = 21.9 Å³ per atom; symmetry = I4/mmm (139); ΔE_f = -4.9 eV per formula unit
1.0
-2.046 2.046 9.148
2.046 -2.046 9.148
2.046 2.046 -9.148
Tb Cd Pd
2 1 4
Direct
0.131 0.131 0.000
0.869 0.869 0.000
0.500 0.500 0.000
0.250 0.750 0.500
0.355 0.355 0.000
0.645 0.645 0.000
0.750 0.250 0.500



No. 6
PBE GdTmGa, optimized geometry; E above lowest polymorph = 113 meV/atom; volume = 28.7 Å³ per atom; symmetry = F-43m (216); ΔE_f = -0.8 eV per formula unit
1.0
0.000 3.504 3.504
3.504 0.000 3.504
3.504 3.504 0.000
Gd Tm Ga
1 1 1
Direct
0.000 0.000 0.000
0.500 0.500 0.500
0.750 0.750 0.750



No. 7
PBE Pr2CoH6Ru, optimized geometry; volume = 10.0 Å³ per atom; symmetry = I4/mmm (139); uncorrected energy = -5.017 eV per atom
1.0
-2.610 2.610 3.676
2.610 -2.610 3.676
2.610 2.610 -3.676
Pr Co H Ru
2 1 6 1
Direct
0.250 0.750 0.500
0.750 0.250 0.500
0.000 0.000 0.000
0.243 0.243 0.000
0.243 0.243 0.486
0.243 0.757 0.000
0.757 0.243 0.000
0.757 0.757 0.000
0.757 0.757 0.514
0.500 0.500 0.000



No. 8
PBE LiCeSc2S4, optimized geometry; raw formation energy = -1.850 eV per atom; volume = 19.4 Å³ per atom; symmetry = P2/m (10)
1.0
6.530 0.000 0.000
0.000 3.777 0.000
-2.169 0.000 6.303
Li Ce Sc S
1 1 2 4
Direct
0.000 0.000 0.000
0.500 0.500 0.000
0.000 0.500 0.500
0.500 0.000 0.500
0.233 0.000 0.732
0.247 0.500 0.264
0.753 0.500 0.736
0.767 0.000 0.268



No. 9
PBE PmURh4, optimized geometry; E above lowest polymorph = 0 meV/atom; volume = 18.0 Å³ per atom; symmetry = F-43m (216); ΔE_f = -3.1 eV per formula unit
1.0
0.000 3.781 3.781
3.781 0.000 3.781
3.781 3.781 0.000
Pm U Rh
1 1 4
Direct
0.000 0.000 0.000
0.250 0.250 0.250
0.126 0.625 0.625
0.625 0.126 0.625
0.625 0.625 0.126
0.625 0.625 0.625



No. 10
PBE Ho3Cd7, optimized geometry; volume = 24.1 Å³ per atom; symmetry = C2/m (12); ΔE_f = -2.5 eV per formula unit
1.0
8.249 -2.461 0.000
8.249 2.461 0.000
-2.467 0.000 5.934
Ho Cd
3 7
Direct
0.000 0.000 0.000
0.206 0.206 0.784
0.794 0.794 0.216
0.000 0.000 0.500
0.199 0.199 0.288
0.392 0.392 0.632
0.409 0.409 0.156
0.591 0.591 0.844
0.608 0.608 0.368
0.801 0.801 0.712



No. 11
PBE KMnPt4, optimized geometry; volume = 18.5 Å³ per atom; symmetry = F-43m (216); ΔE_f = -0.3 eV per formula unit
1.0
0.000 3.816 3.816
3.816 0.000 3.816
3.816 3.816 0.000
K Mn Pt
1 1 4
Direct
0.000 0.000 0.000
0.750 0.750 0.750
0.375 0.375 0.375
0.375 0.375 0.874
0.375 0.874 0.375
0.874 0.375 0.375



No. 12
PBE AcAl9Fe2, optimized geometry; E above lowest polymorph = 0 meV/atom; volume = 17.8 Å³ per atom; symmetry = P6/mmm (191); ΔE_f = -4.2 eV per formula unit
1.0
7.919 0.000 0.000
-3.959 6.858 0.000
0.000 0.000 3.933
Ac Al Fe
1 9 2
Direct
0.000 0.000 0.000
0.000 0.500 0.000
0.215 0.429 0.500
0.215 0.785 0.500
0.429 0.215 0.500
0.500 0.000 0.000
0.500 0.500 0.000
0.571 0.785 0.500
0.785 0.215 0.500
0.785 0.571 0.500
0.333 0.667 0.000
0.667 0.333 0.000



Number 1: ρ 17.6 g cm⁻³. Number 2: ρ 4.9 g cm⁻³. Number 3: ρ 6.6 g cm⁻³. Number 4: ρ 3.7 g cm⁻³. Number 5: ρ 9.3 g cm⁻³. Number 6: ρ 7.6 g cm⁻³. Number 7: ρ 7.4 g cm⁻³. Number 8: ρ 3.9 g cm⁻³. Number 9: ρ 12.2 g cm⁻³. Number 10: ρ 8.8 g cm⁻³. Number 11: ρ 13.1 g cm⁻³. Number 12: ρ 4.5 g cm⁻³.